# Cr2TcAsO6

An optimized crystal structure of Cr2TcAsO6 (GGA+U, the Alexandria database).

abc: 5.2159 5.1033 6.0453
angles: 63.59 61.55 60.19
Closest atoms and distances in Å follow each position.
Fractional coordinates of all 10 atoms:
Cr 0.5011 0.5032 0.4929  6 O 1.99-2.13
Cr 0.0146 0.0257 0.9308  5 O 2.05-2.29
Tc 0.8220 0.8232 0.5293  6 O 1.94-2.16
As 0.3086 0.2856 0.1172  3 O 1.86-1.95
O 0.6056 0.2294 0.2574  1 As 1.95, 1 Cr 2.13, 1 Tc 2.16
O 0.2445 0.9068 0.2858  1 As 1.86, 1 Cr 2.04
O 0.9196 0.5969 0.2581  1 As 1.93, 1 Cr 2.12, 1 Tc 2.14
O 0.4254 0.7481 0.7172  1 Tc 1.97, 2 Cr 2.02-2.06
O 0.7263 0.1065 0.7126  1 Tc 1.94, 1 Cr 1.99
O 0.0940 0.4363 0.7140  1 Tc 1.98, 2 Cr 2.01-2.05

Computed properties:
The space-group type is P1, No. 1. For the electronic total energy, the calculation gives -0.54188 Ry/atom.